Entry 1:
This record from Alexandria describes a relaxed SrTlCo crystal. The functional is PBE-GGA.

As for the formation energy: 0.2551 eV per atom. The value obtained for the spin magnetization is 0.4019 μB/atom. The value obtained for the calculated total energy is -3.46 eV/atom.

```
data_SrTlCo
_chemical_formula_sum 'Sr2 Tl2 Co2'
_space_group_name_H-M_alt 'I 4 m m'
_space_group_IT_number 107
_space_group_name_Hall 'I 4 -2'
_cell_length_a 3.637
_cell_length_b 3.637
_cell_length_c 11.191
_cell_angle_alpha 90.00
_cell_angle_beta 90.00
_cell_angle_gamma 90.00
loop_
_atom_site_label
_atom_site_type_symbol
_atom_site_fract_x
_atom_site_fract_y
_atom_site_fract_z
Sr1 Sr 0.000 0.000 0.000
Tl1 Tl 0.000 0.000 0.288
Co1 Co 0.000 0.000 0.696
```

Entry 2:
This record from Alexandria describes a relaxed InSi2Au crystal. The functional is PBE-GGA.

The value obtained for the formation energy from raw total energies is 297 meV/atom. The value obtained for the spin magnetization is 0.0000 μB/atom. The value obtained for the calculated total energy is -3.92 eV/atom.

```
data_InSi2Au
_chemical_formula_sum 'In2 Si4 Au2'
_space_group_name_H-M_alt 'C 1 2/m 1'
_space_group_IT_number 12
_space_group_name_Hall '-C 2y'
_cell_length_a 10.907
_cell_length_b 2.928
_cell_length_c 6.483
_cell_angle_alpha 90.00
_cell_angle_beta 123.27
_cell_angle_gamma 90.00
loop_
_atom_site_label
_atom_site_type_symbol
_atom_site_fract_x
_atom_site_fract_y
_atom_site_fract_z
In1 In 0.000 0.000 0.000
Si1 Si 0.223 0.000 0.819
Au1 Au 0.000 0.500 0.500
```

Entry 3:
This record from Alexandria describes a relaxed CsTc2Mo crystal. The functional is PBE-GGA.

The value obtained for the energy above the most stable polymorph in this dataset is 0.042 eV per formula unit. As for the formation energy: 1.7839 eV per atom. The value obtained for the spin magnetization is 0.0000 μB/atom. The value obtained for the calculated total energy is -6.32 eV/atom.

```
data_CsTc2Mo
_chemical_formula_sum 'Cs4 Tc8 Mo4'
_space_group_name_H-M_alt 'F m -3 m'
_space_group_IT_number 225
_space_group_name_Hall '-F 4 2 3'
_cell_length_a 6.639
_cell_length_b 6.639
_cell_length_c 6.639
_cell_angle_alpha 90.00
_cell_angle_beta 90.00
_cell_angle_gamma 90.00
loop_
_atom_site_label
_atom_site_type_symbol
_atom_site_fract_x
_atom_site_fract_y
_atom_site_fract_z
Cs1 Cs 0.000 0.000 0.000
Tc1 Tc 0.250 0.250 0.250
Mo1 Mo 0.000 0.000 0.500
```

Entry 4:
This record from Alexandria describes a relaxed Li3Dy3VS8 crystal. The functional is PBE-GGA.

The value obtained for the formation energy from raw total energies is -1587 meV/atom. The value obtained for the spin magnetization is 0.0667 μB/atom. The value obtained for the calculated total energy is -5.70 eV/atom.

```
data_Li3Dy3VS8
_chemical_formula_sum 'Li9 Dy9 V3 S24'
_space_group_name_H-M_alt 'R -3 m'
_space_group_IT_number 166
_space_group_name_Hall '-R 3 2"'
_cell_length_a 7.6474
_cell_length_b 7.6474
_cell_length_c 18.4287
_cell_angle_alpha 90.00
_cell_angle_beta 90.00
_cell_angle_gamma 120.00
loop_
_atom_site_label
_atom_site_type_symbol
_atom_site_fract_x
_atom_site_fract_y
_atom_site_fract_z
Li1 Li 0.0000 0.5000 0.0000
Dy1 Dy 0.0000 0.5000 0.5000
V1 V 0.0000 0.0000 0.5000
S1 S 0.0000 0.0000 0.2517
S2 S 0.0328 0.5164 0.2445
```

Entry 5:
This record from Alexandria describes a relaxed V2ReAu crystal. The functional is PBE-GGA.

The value obtained for the energy above the most stable polymorph in this dataset is 0.352 eV per formula unit. As for the formation energy: 0.0224 eV per atom. The value obtained for the spin magnetization is 0.1679 μB/atom. The value obtained for the calculated total energy is -8.47 eV/atom.

```
data_V2ReAu
_chemical_formula_sum 'V2 Re1 Au1'
_space_group_name_H-M_alt 'P 4/m m m'
_space_group_IT_number 123
_space_group_name_Hall '-P 4 2'
_cell_length_a 4.079
_cell_length_b 4.079
_cell_length_c 3.545
_cell_angle_alpha 90.00
_cell_angle_beta 90.00
_cell_angle_gamma 90.00
loop_
_atom_site_label
_atom_site_type_symbol
_atom_site_fract_x
_atom_site_fract_y
_atom_site_fract_z
V1 V 0.000 0.500 0.000
Re1 Re 0.000 0.000 0.500
Au1 Au 0.500 0.500 0.500
```

Entry 6:
This record from Alexandria describes a relaxed K2TlAg crystal. The functional is PBE-GGA.

The value obtained for the energy above the most stable polymorph in this dataset is 0.000 eV per formula unit. As for the formation energy: -0.0302 eV per atom. The value obtained for the spin magnetization is 0.0000 μB/atom. The value obtained for the calculated total energy is -1.88 eV/atom.

```
data_K2TlAg
_chemical_formula_sum 'K8 Tl4 Ag4'
_space_group_name_H-M_alt 'C m c m'
_space_group_IT_number 63
_space_group_name_Hall '-C 2c 2'
_cell_length_a 10.525
_cell_length_b 8.540
_cell_length_c 6.659
_cell_angle_alpha 90.00
_cell_angle_beta 90.00
_cell_angle_gamma 90.00
loop_
_atom_site_label
_atom_site_type_symbol
_atom_site_fract_x
_atom_site_fract_y
_atom_site_fract_z
K1 K 0.180 0.148 0.250
Tl1 Tl 0.000 0.500 0.000
Ag1 Ag 0.000 0.210 0.750
```

Entry 7:
This record from Alexandria describes a relaxed SnGeS crystal. The functional is PBE-GGA.

The value obtained for the energy above the most stable polymorph in this dataset is 0.166 eV per formula unit. The value obtained for the formation energy from raw total energies is -76 meV/atom. The value obtained for the spin magnetization is 0.0000 μB/atom. The value obtained for the calculated total energy is -4.32 eV/atom.

```
data_SnGeS
_chemical_formula_sum 'Sn4 Ge4 S4'
_space_group_name_H-M_alt 'C 1 m 1'
_space_group_IT_number 8
_space_group_name_Hall 'C -2y'
_cell_length_a 20.564
_cell_length_b 3.651
_cell_length_c 4.164
_cell_angle_alpha 90.00
_cell_angle_beta 100.56
_cell_angle_gamma 90.00
loop_
_atom_site_label
_atom_site_type_symbol
_atom_site_fract_x
_atom_site_fract_y
_atom_site_fract_z
Sn1 Sn 0.000 0.000 0.000
Sn2 Sn 0.164 0.500 0.138
Ge1 Ge 0.238 0.000 0.610
Ge2 Ge 0.314 0.000 0.182
S1 S 0.056 0.500 0.424
S2 S 0.389 0.500 0.298
```

Entry 8:
This record from Alexandria describes a relaxed Na2SbTe2 crystal. The functional is PBE-GGA.

The value obtained for the energy above the most stable polymorph in this dataset is 0.000 eV per formula unit. The value obtained for the formation energy from raw total energies is -490 meV/atom. The value obtained for the spin magnetization is 0.0000 μB/atom. The value obtained for the calculated total energy is -3.10 eV/atom.

```
data_Na2SbTe2
_chemical_formula_sum 'Na8 Sb4 Te8'
_space_group_name_H-M_alt 'P 1 21/c 1'
_space_group_IT_number 14
_space_group_name_Hall '-P 2ybc'
_cell_length_a 10.863
_cell_length_b 8.157
_cell_length_c 7.904
_cell_angle_alpha 90.00
_cell_angle_beta 104.13
_cell_angle_gamma 90.00
loop_
_atom_site_label
_atom_site_type_symbol
_atom_site_fract_x
_atom_site_fract_y
_atom_site_fract_z
Na1 Na 0.049 0.232 0.028
Na2 Na 0.304 0.669 0.027
Sb1 Sb 0.342 0.169 0.954
Te1 Te 0.130 0.539 0.277
Te2 Te 0.451 0.528 0.741
```

Entry 9:
This record from Alexandria describes a relaxed Er4Tm3Pb crystal. The functional is PBE-GGA.

The value obtained for the energy above the most stable polymorph in this dataset is 0.000 eV per formula unit. As for the formation energy: -0.1195 eV per atom. The value obtained for the spin magnetization is 0.0000 μB/atom. The value obtained for the calculated total energy is -4.54 eV/atom.

```
data_Er4Tm3Pb
_chemical_formula_sum 'Er8 Tm6 Pb2'
_space_group_name_H-M_alt 'P m n 21'
_space_group_IT_number 31
_space_group_name_Hall 'P 2ac -2'
_cell_length_a 11.081
_cell_length_b 6.988
_cell_length_c 6.092
_cell_angle_alpha 90.00
_cell_angle_beta 90.00
_cell_angle_gamma 90.00
loop_
_atom_site_label
_atom_site_type_symbol
_atom_site_fract_x
_atom_site_fract_y
_atom_site_fract_z
Er1 Er 0.000 0.129 0.000
Er2 Er 0.000 0.869 0.476
Er3 Er 0.242 0.877 0.831
Tm1 Tm 0.000 0.368 0.476
Tm2 Tm 0.249 0.385 0.801
Pb1 Pb 0.000 0.621 0.984
```

Entry 10:
This record from Alexandria describes a relaxed BiAsW2 crystal. The functional is PBE-GGA.

The value obtained for the energy above the most stable polymorph in this dataset is 0.183 eV per formula unit. As for the formation energy: 0.9275 eV per atom. The value obtained for the spin magnetization is 0.0000 μB/atom. The value obtained for the calculated total energy is -7.68 eV/atom.

```
data_BiAsW2
_chemical_formula_sum 'Bi4 As4 W8'
_space_group_name_H-M_alt 'I -4 2 d'
_space_group_IT_number 122
_space_group_name_Hall 'I -4 2bw'
_cell_length_a 4.309
_cell_length_b 4.309
_cell_length_c 18.326
_cell_angle_alpha 90.00
_cell_angle_beta 90.00
_cell_angle_gamma 90.00
loop_
_atom_site_label
_atom_site_type_symbol
_atom_site_fract_x
_atom_site_fract_y
_atom_site_fract_z
Bi1 Bi 0.000 0.000 0.000
As1 As 0.000 0.000 0.500
W1 W 0.168 0.250 0.625
```

Entry 11:
This record from Alexandria describes a relaxed ZrCrTe2 crystal. The functional is PBE-GGA.

The value obtained for the energy above the most stable polymorph in this dataset is 0.000 eV per formula unit. The value obtained for the formation energy from raw total energies is -423 meV/atom. The value obtained for the spin magnetization is 0.8945 μB/atom. The value obtained for the calculated total energy is -6.54 eV/atom.

```
data_ZrCrTe2
_chemical_formula_sum 'Zr2 Cr2 Te4'
_space_group_name_H-M_alt 'A m m 2'
_space_group_IT_number 38
_space_group_name_Hall 'A 2 -2'
_cell_length_a 3.851
_cell_length_b 3.916
_cell_length_c 13.137
_cell_angle_alpha 90.00
_cell_angle_beta 90.00
_cell_angle_gamma 90.00
loop_
_atom_site_label
_atom_site_type_symbol
_atom_site_fract_x
_atom_site_fract_y
_atom_site_fract_z
Zr1 Zr 0.000 0.000 0.000
Cr1 Cr 0.500 0.000 0.810
Te1 Te 0.000 0.000 0.333
Te2 Te 0.500 0.000 0.595
```

What is the calculated total energy in the second record?
-3.92 eV/atom

Among the records above, which one has the highest spin magnetization?
ZrCrTe2

Which value of calculated total energy does entry 4 give?
-5.70 eV/atom